# 1
PmGdAg2 after structural relaxation. Source: the Alexandria database, functional GGA-PBE.

a = 5.2448 Å, b = 5.2448 Å, c = 3.6895 Å
α = 90.00°, β = 90.00°, γ = 90.00°
Last column: nearest neighbours and their distance in Å.
Atoms (fractional coordinates):
1 Pm 0.0000 0.0000 0.0000  8 Ag 3.21
2 Gd 0.5000 0.5000 0.0000  8 Ag 3.21
3 Ag 0.0000 0.5000 0.5000  4 Gd 3.21, 4 Pm 3.21
4 Ag 0.5000 0.0000 0.5000  4 Gd 3.21, 4 Pm 3.21

Computed properties:
SG: P4/mmm (123)
Energy of formation from the pure elements (eV/atom): -0.29
ΔE to the lowest computed polymorph (eV per atom): 0.000
Fermi-level density of states (states/eV per atom): 0.9814


# 2
PmGdAg after structural relaxation. Source: the Alexandria database, functional GGA-PBE.

a = 5.1077 Å, b = 5.1077 Å, c = 5.1077 Å
α = 60.00°, β = 60.00°, γ = 60.00°
Last column: nearest neighbours and their distance in Å.
Atoms (fractional coordinates):
1 Pm 0.0000 0.0000 0.0000  4 Ag 3.13
2 Gd 0.5000 0.5000 0.5000  4 Ag 3.13
3 Ag 0.2500 0.2500 0.2500  4 Gd 3.13, 4 Pm 3.13

Computed properties:
SG: F-43m (216)
Energy of formation from the pure elements (eV/atom): 0.05
ΔE to the lowest computed polymorph (eV per atom): 0.222
Fermi-level density of states (states/eV per atom): 1.9550


# 3
PmGdAg after structural relaxation. Source: the Alexandria database, functional GGA-PBE.

a = 5.1117 Å, b = 5.1117 Å, c = 3.6927 Å
α = 90.00°, β = 90.00°, γ = 120.00°
Last column: nearest neighbours and their distance in Å.
Atoms (fractional coordinates):
1 Pm 0.0000 0.0000 0.0000  3 Ag 3.15, 3 Gd 3.36
2 Gd 0.6667 0.3333 0.5632  3 Ag 3.11, 3 Pm 3.36
3 Ag 0.3333 0.6667 0.3018  3 Gd 3.11, 3 Pm 3.15

Computed properties:
SG: P3m1 (156)
Energy of formation from the pure elements (eV/atom): -0.02
ΔE to the lowest computed polymorph (eV per atom): 0.149
Fermi-level density of states (states/eV per atom): 1.0697


# 4
PmGdAg2 after structural relaxation. Source: the Alexandria database, functional GGA-PBE.

a = 5.2375 Å, b = 5.2375 Å, c = 5.2375 Å
α = 60.00°, β = 60.00°, γ = 60.00°
Last column: nearest neighbours and their distance in Å.
Atoms (fractional coordinates):
1 Pm 0.0000 0.0000 0.0000  8 Ag 3.21
2 Gd 0.5000 0.5000 0.5000  8 Ag 3.21
3 Ag 0.2500 0.2500 0.2500  4 Gd 3.21, 4 Pm 3.21
4 Ag 0.7500 0.7500 0.7500  4 Gd 3.21, 4 Pm 3.21

Computed properties:
SG: Fm-3m (225)
Energy of formation from the pure elements (eV/atom): -0.28
ΔE to the lowest computed polymorph (eV per atom): 0.004
Fermi-level density of states (states/eV per atom): 1.1514


Please write out number 2 again, unchanged.
PmGdAg after structural relaxation. Source: the Alexandria database, functional GGA-PBE.

a = 5.1077 Å, b = 5.1077 Å, c = 5.1077 Å
α = 60.00°, β = 60.00°, γ = 60.00°
Last column: nearest neighbours and their distance in Å.
Atoms (fractional coordinates):
1 Pm 0.0000 0.0000 0.0000  4 Ag 3.13
2 Gd 0.5000 0.5000 0.5000  4 Ag 3.13
3 Ag 0.2500 0.2500 0.2500  4 Gd 3.13, 4 Pm 3.13

Computed properties:
SG: F-43m (216)
Energy of formation from the pure elements (eV/atom): 0.05
ΔE to the lowest computed polymorph (eV per atom): 0.222
Fermi-level density of states (states/eV per atom): 1.9550